Record 1
# Sm2HoGe3 (PBE, relaxed)
# calculated total energy = -31.8 eV per formula unit
# N(E_F) = 4.37 states/eV per cell
# ρ = 7.2 Mg/m³
data_Sm2HoGe3
_symmetry_space_group_name_H-M 'P 1'
_symmetry_Int_Tables_number 1
_cell_length_a 7.251
_cell_length_b 7.251
_cell_length_c 7.251
_cell_angle_alpha 146.12
_cell_angle_beta 131.64
_cell_angle_gamma 60.35
loop_
_symmetry_equiv_pos_as_xyz
'x,y,z'
loop_
_atom_site_label
_atom_site_fract_x
_atom_site_fract_y
_atom_site_fract_z
Sm1 0.168 0.168 0.000
Sm2 0.832 0.832 0.000
Ho1 0.500 0.500 0.000
Ge1 0.000 0.500 0.500
Ge2 0.338 0.838 0.500
Ge3 0.662 0.162 0.500

---

Record 2
# ThGa2AgAu2 (PBE, relaxed)
# calculated total energy = -25.6 eV per formula unit
# N(E_F) = 3.12 states/eV per cell
# ρ = 11.9 Mg/m³
data_ThGa2AgAu2
_symmetry_space_group_name_H-M 'P 1'
_symmetry_Int_Tables_number 1
_cell_length_a 4.515
_cell_length_b 4.515
_cell_length_c 6.928
_cell_angle_alpha 90.00
_cell_angle_beta 90.00
_cell_angle_gamma 120.00
loop_
_symmetry_equiv_pos_as_xyz
'x,y,z'
loop_
_atom_site_label
_atom_site_fract_x
_atom_site_fract_y
_atom_site_fract_z
Th1 0.000 0.000 0.000
Ga1 0.333 0.667 0.299
Ga2 0.667 0.333 0.701
Ag1 0.000 0.000 0.500
Au1 0.333 0.667 0.733
Au2 0.667 0.333 0.267

---

Record 3
# La2Cr (PBE, relaxed)
# calculated total energy = -18.4 eV per formula unit
# N(E_F) = 7.96 states/eV per cell
# ρ = 6.1 Mg/m³
data_La2Cr
_symmetry_space_group_name_H-M 'P 1'
_symmetry_Int_Tables_number 1
_cell_length_a 6.195
_cell_length_b 6.195
_cell_length_c 6.195
_cell_angle_alpha 105.24
_cell_angle_beta 105.24
_cell_angle_gamma 118.31
loop_
_symmetry_equiv_pos_as_xyz
'x,y,z'
loop_
_atom_site_label
_atom_site_fract_x
_atom_site_fract_y
_atom_site_fract_z
La1 0.179 0.679 0.858
La2 0.321 0.179 0.500
La3 0.679 0.821 0.500
La4 0.821 0.321 0.142
Cr1 0.250 0.250 0.000
Cr2 0.750 0.750 0.000

---

Record 4
# CsLaAu2 (PBE, relaxed)
# calculated total energy = -14.5 eV per formula unit
# N(E_F) = 2.83 states/eV per cell
# ρ = 8.2 Mg/m³
data_CsLaAu2
_symmetry_space_group_name_H-M 'P 1'
_symmetry_Int_Tables_number 1
_cell_length_a 3.959
_cell_length_b 3.959
_cell_length_c 8.588
_cell_angle_alpha 90.00
_cell_angle_beta 90.00
_cell_angle_gamma 90.00
loop_
_symmetry_equiv_pos_as_xyz
'x,y,z'
loop_
_atom_site_label
_atom_site_fract_x
_atom_site_fract_y
_atom_site_fract_z
Cs1 0.000 0.000 0.000
La1 0.000 0.000 0.500
Au1 0.500 0.500 0.324
Au2 0.500 0.500 0.676